[1]
Sn12Hg5Pt3 after structural relaxation, computed with GGA-PBE.

The structure in POSCAR format:
```
Sn12Hg5Pt3
1.0
-8.008 11.446 3.238
5.288 -5.698 12.050
10.804 3.987 -8.544
Sn Hg Pt
48 20 12
Direct
0.566 0.636 0.397
0.603 0.864 0.434
0.832 0.897 0.262
0.603 0.738 0.668
0.364 0.434 0.103
0.636 0.566 0.897
0.168 0.066 0.930
0.434 0.364 0.603
0.668 0.238 0.603
0.934 0.103 0.864
0.897 0.066 0.636
0.430 0.668 0.066
0.762 0.430 0.364
0.864 0.262 0.430
0.070 0.434 0.832
0.168 0.103 0.738
0.397 0.262 0.332
0.738 0.603 0.168
0.364 0.930 0.762
0.262 0.397 0.832
0.864 0.603 0.934
0.566 0.930 0.668
0.832 0.934 0.070
0.238 0.668 0.103
0.066 0.897 0.136
0.930 0.566 0.168
0.570 0.332 0.934
0.934 0.832 0.570
0.570 0.238 0.136
0.668 0.430 0.566
0.434 0.070 0.332
0.430 0.762 0.864
0.762 0.332 0.897
0.930 0.364 0.262
0.636 0.070 0.238
0.066 0.168 0.430
0.103 0.934 0.364
0.070 0.636 0.738
0.136 0.738 0.570
0.738 0.136 0.070
0.103 0.168 0.238
0.262 0.864 0.930
0.332 0.762 0.397
0.397 0.136 0.566
0.897 0.832 0.762
0.332 0.570 0.434
0.238 0.570 0.636
0.136 0.397 0.066
0.625 0.750 0.875
0.375 0.250 0.125
0.000 0.000 0.500
0.875 0.625 0.750
0.625 0.875 0.250
0.000 0.500 0.000
0.750 0.625 0.375
0.125 0.375 0.250
0.250 0.875 0.125
0.125 0.750 0.375
0.500 0.000 0.500
0.500 0.000 0.000
0.500 0.500 0.500
0.750 0.125 0.875
0.000 0.500 0.500
0.000 0.000 0.000
0.375 0.125 0.750
0.250 0.375 0.625
0.500 0.500 0.000
0.875 0.250 0.625
0.625 0.250 0.375
0.250 0.625 0.875
0.375 0.625 0.250
0.125 0.250 0.875
0.250 0.125 0.375
0.750 0.375 0.125
0.875 0.750 0.125
0.750 0.875 0.625
0.875 0.125 0.250
0.125 0.875 0.750
0.625 0.375 0.750
0.375 0.750 0.625
```

Summary:
ΔE_f = -0.023 eV/atom
Crystal system = cubic
Magnetization = 0.00 Bohr magnetons per cell
E = -272.53 eV/cell

=====

[2]
SrPr2Ho after structural relaxation, computed with GGA-PBE.

The structure in POSCAR format:
```
SrPr2Ho
1.0
5.271 0.000 0.000
0.000 5.332 0.000
0.000 0.000 5.332
Sr Pr Ho
1 2 1
Direct
0.500 0.000 0.000
0.000 0.000 0.500
0.000 0.500 0.000
0.500 0.500 0.500
```

Summary:
ΔE_f = 0.160 eV/atom
Crystal system = tetragonal
Magnetization = 0.00 Bohr magnetons per cell
E = -15.18 eV/cell

=====

[3]
Mn9Ga11Fe4 after structural relaxation, computed with GGA-PBE.

The structure in POSCAR format:
```
Mn9Ga11Fe4
1.0
-1.430 1.411 -1.791
8.062 -2.013 -8.022
-8.549 -7.732 0.732
Ga Fe Mn
11 4 9
Direct
0.000 0.596 0.963
0.000 0.037 0.404
0.000 0.249 0.249
0.000 0.751 0.751
0.000 0.000 0.000
0.000 0.404 0.037
0.000 0.963 0.596
0.000 0.818 0.182
0.000 0.182 0.818
0.000 0.376 0.624
0.000 0.624 0.376
0.500 0.231 0.425
0.500 0.575 0.769
0.500 0.425 0.231
0.500 0.769 0.575
0.500 0.383 0.827
0.500 0.827 0.383
0.500 0.799 0.974
0.500 0.173 0.617
0.500 0.617 0.173
0.500 0.500 0.500
0.500 0.974 0.799
0.500 0.026 0.201
0.500 0.201 0.026
```

Summary:
ΔE_f = -0.053 eV/atom
Crystal system = orthorhombic
Magnetization = 32.21 Bohr magnetons per cell
E = -150.94 eV/cell